1.
Computed, not measured: an optimized crystal structure of Cs2RuRhF6 at the GGA-PBE level of DFT.

Cell lengths 6.278, 6.278, 6.278 Å; angles 60.00, 60.00, 60.00 degrees
Element x y z (fractional)
Cs (0.250, 0.250, 0.250)
Cs (0.750, 0.750, 0.750)
Ru (0.000, 0.000, 0.000)
Rh (0.500, 0.500, 0.500)
F (0.234, 0.234, 0.766)
F (0.234, 0.766, 0.234)
F (0.234, 0.766, 0.766)
F (0.766, 0.234, 0.234)
F (0.766, 0.234, 0.766)
F (0.766, 0.766, 0.234)

The raw total energy is -4.7416 eV per atom. Its space-group type is No. 225. The value obtained for the uncorrected formation energy is -17.9 eV/f.u.

***

2.
Computed, not measured: an optimized crystal structure of TiCoPb3 at the GGA-PBE level of DFT.

Cell lengths 5.375, 5.375, 5.375 Å; angles 90.00, 90.00, 90.00 degrees
Element x y z (fractional)
Ti (0.000, 0.000, 0.000)
Co (0.500, 0.500, 0.500)
Pb (0.000, 0.000, 0.500)
Pb (0.000, 0.500, 0.000)
Pb (0.500, 0.000, 0.000)

As for the polymorph energy (0 for the lowest one): 0.2362 eV per atom. The raw total energy is -4.2963 eV per atom. Its space-group type is No. 221. The value obtained for the energy of formation from the pure elements is 0.93 eV per atom.

***

3.
Computed, not measured: an optimized crystal structure of Ac3Fe2Ge7 at the GGA-PBE level of DFT.

Cell lengths 4.449, 4.506, 13.362 Å; angles 90.00, 99.58, 90.00 degrees
Element x y z (fractional)
Ac (0.000, 0.000, 0.000)
Ac (0.315, 0.500, 0.631)
Ac (0.685, 0.500, 0.369)
Fe (0.127, 0.000, 0.252)
Fe (0.873, 0.000, 0.748)
Ge (0.092, 0.500, 0.182)
Ge (0.219, 0.000, 0.436)
Ge (0.408, 0.000, 0.818)
Ge (0.500, 0.500, 0.000)
Ge (0.592, 0.000, 0.182)
Ge (0.781, 0.000, 0.564)
Ge (0.908, 0.500, 0.818)

The raw total energy is -5.5980 eV per atom. Its space-group type is No. 10. The value obtained for the energy of formation from the pure elements is -0.47 eV per atom.

***

4.
Computed, not measured: an optimized crystal structure of RbTl4Cd2 at the GGA-PBE level of DFT.

Cell lengths 10.273, 8.722, 6.018 Å; angles 90.00, 125.72, 90.00 degrees
Element x y z (fractional)
Rb (0.000, 0.000, 0.000)
Rb (0.500, 0.500, 0.000)
Tl (0.195, 0.192, 0.695)
Tl (0.195, 0.808, 0.695)
Tl (0.305, 0.308, 0.305)
Tl (0.305, 0.692, 0.305)
Tl (0.695, 0.308, 0.695)
Tl (0.695, 0.692, 0.695)
Tl (0.805, 0.192, 0.305)
Tl (0.805, 0.808, 0.305)
Cd (0.001, 0.500, 0.748)
Cd (0.499, 0.000, 0.252)
Cd (0.501, 0.000, 0.748)
Cd (0.999, 0.500, 0.252)

As for the polymorph energy (0 for the lowest one): 0.0449 eV per atom. The raw total energy is -1.7602 eV per atom. Its space-group type is No. 12. The value obtained for the energy of formation from the pure elements is -0.01 eV per atom.

***

5.
Computed, not measured: an optimized crystal structure of SiB2Pt6 at the GGA-PBE level of DFT.

Cell lengths 7.671, 7.671, 5.942 Å; angles 109.99, 109.99, 57.11 degrees
Element x y z (fractional)
Si (0.198, 0.802, 0.750)
Si (0.802, 0.198, 0.250)
B (0.134, 0.395, 0.277)
B (0.395, 0.134, 0.777)
B (0.605, 0.866, 0.223)
B (0.866, 0.605, 0.723)
Pt (0.041, 0.173, 0.039)
Pt (0.173, 0.041, 0.539)
Pt (0.192, 0.431, 0.661)
Pt (0.239, 0.613, 0.351)
Pt (0.387, 0.761, 0.149)
Pt (0.431, 0.192, 0.161)
Pt (0.569, 0.808, 0.839)
Pt (0.613, 0.239, 0.851)
Pt (0.761, 0.387, 0.649)
Pt (0.808, 0.569, 0.339)
Pt (0.827, 0.959, 0.461)
Pt (0.959, 0.827, 0.961)

The raw total energy is -6.3645 eV per atom. Its space-group type is No. 15. The value obtained for the uncorrected formation energy is -2.3 eV/f.u.

***

6.
Computed, not measured: an optimized crystal structure of Tb3NdSc at the GGA-PBE level of DFT.

Cell lengths 11.001, 11.001, 6.537 Å; angles 93.63, 93.63, 52.80 degrees
Element x y z (fractional)
Tb (0.020, 0.132, 0.399)
Tb (0.082, 0.588, 0.917)
Tb (0.132, 0.020, 0.899)
Tb (0.247, 0.452, 0.406)
Tb (0.412, 0.918, 0.583)
Tb (0.452, 0.247, 0.906)
Tb (0.548, 0.753, 0.094)
Tb (0.588, 0.082, 0.417)
Tb (0.753, 0.548, 0.594)
Tb (0.868, 0.980, 0.101)
Tb (0.918, 0.412, 0.083)
Tb (0.980, 0.868, 0.601)
Nd (0.252, 0.748, 0.250)
Nd (0.396, 0.604, 0.750)
Nd (0.604, 0.396, 0.250)
Nd (0.748, 0.252, 0.750)
Sc (0.149, 0.283, 0.680)
Sc (0.283, 0.149, 0.180)
Sc (0.717, 0.851, 0.820)
Sc (0.851, 0.717, 0.320)

As for the polymorph energy (0 for the lowest one): 0.0394 eV per atom. The raw total energy is -4.9200 eV per atom. Its space-group type is No. 15. The value obtained for the energy of formation from the pure elements is 0.08 eV per atom.

***

7.
Computed, not measured: an optimized crystal structure of La3AlHg at the GGA-PBE level of DFT.

Cell lengths 5.442, 6.864, 8.507 Å; angles 97.62, 108.61, 90.09 degrees
Element x y z (fractional)
La (0.022, 0.268, 0.043)
La (0.215, 0.631, 0.429)
La (0.399, 0.056, 0.798)
La (0.601, 0.944, 0.202)
La (0.785, 0.369, 0.571)
La (0.978, 0.732, 0.957)
Al (0.415, 0.532, 0.832)
Al (0.585, 0.468, 0.168)
Hg (0.202, 0.111, 0.404)
Hg (0.798, 0.889, 0.596)

As for the polymorph energy (0 for the lowest one): 0.0000 eV per atom. The raw total energy is -4.1051 eV per atom. Its space-group type is No. 2. The value obtained for the energy of formation from the pure elements is -0.34 eV per atom.

***

8.
Computed, not measured: an optimized crystal structure of Nd4Pd2C at the GGA-PBE level of DFT.

Cell lengths 5.020, 5.020, 14.687 Å; angles 90.00, 90.00, 90.00 degrees
Element x y z (fractional)
Nd (0.000, 0.000, 0.177)
Nd (0.000, 0.000, 0.823)
Nd (0.000, 0.500, 0.000)
Nd (0.000, 0.500, 0.500)
Nd (0.500, 0.000, 0.000)
Nd (0.500, 0.000, 0.500)
Nd (0.500, 0.500, 0.323)
Nd (0.500, 0.500, 0.677)
Pd (0.000, 0.000, 0.370)
Pd (0.000, 0.000, 0.630)
Pd (0.500, 0.500, 0.130)
Pd (0.500, 0.500, 0.870)
C (0.000, 0.000, 0.000)
C (0.500, 0.500, 0.500)

The raw total energy is -5.8293 eV per atom. Its space-group type is No. 139. The value obtained for the energy of formation from the pure elements is -0.30 eV per atom.

***

9.
Computed, not measured: an optimized crystal structure of UIn2GaBr6 at the GGA-PBE level of DFT.

Cell lengths 7.759, 7.759, 6.976 Å; angles 99.34, 99.34, 60.28 degrees
Element x y z (fractional)
U (0.000, 0.000, 0.000)
In (0.293, 0.293, 0.762)
In (0.707, 0.707, 0.238)
Ga (0.500, 0.500, 0.500)
Br (0.143, 0.634, 0.174)
Br (0.157, 0.157, 0.334)
Br (0.366, 0.857, 0.826)
Br (0.634, 0.143, 0.174)
Br (0.843, 0.843, 0.666)
Br (0.857, 0.366, 0.826)

The raw total energy is -3.8268 eV per atom. Its space-group type is No. 12. The value obtained for the uncorrected formation energy is -8.4 eV/f.u.

***

10.
Computed, not measured: an optimized crystal structure of YFeSb2Te at the GGA-PBE level of DFT.

Cell lengths 4.812, 4.812, 5.695 Å; angles 90.00, 90.00, 90.00 degrees
Element x y z (fractional)
Y (0.000, 0.000, 0.000)
Fe (0.500, 0.500, 0.500)
Sb (0.000, 0.500, 0.500)
Sb (0.500, 0.000, 0.500)
Te (0.500, 0.500, 0.000)

As for the polymorph energy (0 for the lowest one): 0.0000 eV per atom. The raw total energy is -5.2706 eV per atom. Its space-group type is No. 123. The value obtained for the uncorrected formation energy is 0.0 eV/f.u.

***

11.
Computed, not measured: an optimized crystal structure of BeCuPt2 at the GGA-PBE level of DFT.

Cell lengths 3.815, 3.815, 16.328 Å; angles 90.00, 90.00, 90.00 degrees
Element x y z (fractional)
Be (0.000, 0.000, 0.000)
Be (0.000, 0.500, 0.250)
Be (0.500, 0.000, 0.750)
Be (0.500, 0.500, 0.500)
Cu (0.000, 0.000, 0.500)
Cu (0.000, 0.500, 0.750)
Cu (0.500, 0.000, 0.250)
Cu (0.500, 0.500, 0.000)
Pt (0.240, 0.250, 0.125)
Pt (0.250, 0.740, 0.375)
Pt (0.250, 0.760, 0.875)
Pt (0.260, 0.250, 0.625)
Pt (0.740, 0.750, 0.625)
Pt (0.750, 0.240, 0.875)
Pt (0.750, 0.260, 0.375)
Pt (0.760, 0.750, 0.125)

The raw total energy is -4.9132 eV per atom. Its space-group type is No. 122. The value obtained for the energy of formation from the pure elements is 0.06 eV per atom.

***

12.
Computed, not measured: an optimized crystal structure of TaAlTlF2 at the GGA-PBE level of DFT.

Cell lengths 4.304, 4.304, 6.047 Å; angles 90.00, 90.00, 90.00 degrees
Element x y z (fractional)
Ta (0.000, 0.000, 0.000)
Al (0.500, 0.500, 0.000)
Tl (0.000, 0.000, 0.500)
F (0.000, 0.500, 0.500)
F (0.500, 0.000, 0.500)

The raw total energy is -4.2795 eV per atom. Its space-group type is No. 123. The value obtained for the uncorrected formation energy is 0.3 eV/f.u.